# 1
Density functional theory data (PBE) for a relaxed structure of SrInSe2.

formation energy (no corrections) = -0.52 eV/atom
calculated volume = 109 Å³/cell
space group = F-43m

Geometry as POSCAR:
```
SrInSe2
1.0
0.000 3.787 3.787
3.787 0.000 3.787
3.787 3.787 0.000
Sr In Se
1 1 2
Direct
0.000 0.000 0.000
0.750 0.750 0.750
0.250 0.250 0.250
0.500 0.500 0.500
```



# 2
Density functional theory data (PBE) for a relaxed structure of Sr2InSe.

formation energy (no corrections) = -1.08 eV/atom
calculated volume = 141 Å³/cell
energy above the most stable polymorph in this dataset = 0.0 meV per atom
space group = R-3m

Geometry as POSCAR:
```
Sr2InSe
1.0
2.145 1.239 8.863
-2.145 1.239 8.863
0.000 -2.477 8.863
Sr In Se
2 1 1
Direct
0.237 0.237 0.237
0.763 0.763 0.763
0.000 0.000 0.000
0.500 0.500 0.500
```



# 3
Density functional theory data (PBE) for a relaxed structure of Sr2InSe.

formation energy (no corrections) = -1.04 eV/atom
calculated volume = 125 Å³/cell
energy above the most stable polymorph in this dataset = 38.8 meV per atom
space group = P2/m

Geometry as POSCAR:
```
Sr2InSe
1.0
3.791 0.000 0.000
0.000 3.767 0.000
-0.008 0.000 8.735
Sr In Se
2 1 1
Direct
0.000 0.000 0.215
0.000 0.000 0.785
0.500 0.500 0.500
0.500 0.500 0.000
```



# 4
Density functional theory data (PBE) for a relaxed structure of Sr4InSe.

formation energy (no corrections) = 0.15 eV/atom
calculated volume = 245 Å³/cell
space group = F-43m

Geometry as POSCAR:
```
Sr4InSe
1.0
0.000 4.964 4.964
4.964 0.000 4.964
4.964 4.964 0.000
Sr In Se
4 1 1
Direct
0.125 0.125 0.125
0.125 0.125 0.625
0.125 0.625 0.125
0.625 0.125 0.125
0.750 0.750 0.750
0.500 0.500 0.500
```



# 5
Density functional theory data (PBE) for a relaxed structure of SrInSe.

formation energy (no corrections) = -0.53 eV/atom
calculated volume = 106 Å³/cell
energy above the most stable polymorph in this dataset = 380.9 meV per atom
space group = F-43m

Geometry as POSCAR:
```
SrInSe
1.0
0.000 3.757 3.757
3.757 0.000 3.757
3.757 3.757 0.000
Sr In Se
1 1 1
Direct
0.000 0.000 0.000
0.250 0.250 0.250
0.750 0.750 0.750
```



# 6
Density functional theory data (PBE) for a relaxed structure of Sr2InSe.

formation energy (no corrections) = -0.98 eV/atom
calculated volume = 142 Å³/cell
energy above the most stable polymorph in this dataset = 102.2 meV per atom
space group = Imm2

Geometry as POSCAR:
```
Sr2InSe
1.0
-1.967 2.044 8.811
1.967 -2.044 8.811
1.967 2.044 -8.811
Sr In Se
2 1 1
Direct
0.000 0.000 0.000
0.715 0.215 0.500
0.334 0.834 0.500
0.576 0.576 0.000
```



# 7
Density functional theory data (PBE) for a relaxed structure of Sr2InSe.

formation energy (no corrections) = -0.73 eV/atom
calculated volume = 128 Å³/cell
energy above the most stable polymorph in this dataset = 350.3 meV per atom
space group = Fm-3m

Geometry as POSCAR:
```
Sr2InSe
1.0
0.000 4.002 4.002
4.002 0.000 4.002
4.002 4.002 0.000
Sr In Se
2 1 1
Direct
0.250 0.250 0.250
0.750 0.750 0.750
0.000 0.000 0.000
0.500 0.500 0.500
```



# 8
Density functional theory data (PBE) for a relaxed structure of SrInSe3.

formation energy (no corrections) = -0.68 eV/atom
calculated volume = 150 Å³/cell
energy above the most stable polymorph in this dataset = 0.0 meV per atom
space group = Pm-3m

Geometry as POSCAR:
```
SrInSe3
1.0
5.316 0.000 0.000
0.000 5.316 0.000
0.000 0.000 5.316
Sr In Se
1 1 3
Direct
0.000 0.000 0.000
0.500 0.500 0.500
0.000 0.500 0.500
0.500 0.000 0.500
0.500 0.500 0.000
```



# 9
Density functional theory data (PBE) for a relaxed structure of SrInSe2.

formation energy (no corrections) = -1.19 eV/atom
calculated volume = 114 Å³/cell
space group = Amm2

Geometry as POSCAR:
```
SrInSe2
1.0
4.326 0.000 0.000
0.000 2.051 6.443
0.000 -2.051 6.443
Sr In Se
1 1 2
Direct
0.000 0.000 0.000
0.500 0.238 0.238
0.000 0.703 0.703
0.500 0.444 0.444
```



# 10
Density functional theory data (PBE) for a relaxed structure of SrIn2Se4.

formation energy (no corrections) = -0.99 eV/atom
calculated volume = 426 Å³/cell
space group = Cccm

Geometry as POSCAR:
```
SrIn2Se4
1.0
3.423 -5.544 0.000
3.423 5.544 0.000
0.000 0.000 11.220
Sr In Se
2 4 8
Direct
0.000 0.000 0.250
0.000 0.000 0.750
0.270 0.724 0.000
0.276 0.730 0.500
0.724 0.270 0.500
0.730 0.276 0.000
0.000 0.500 0.179
0.000 0.500 0.821
0.145 0.289 0.500
0.289 0.145 0.000
0.500 0.000 0.321
0.500 0.000 0.679
0.711 0.855 0.000
0.855 0.711 0.500
```



# 11
Density functional theory data (PBE) for a relaxed structure of Sr5InSe6.

formation energy (no corrections) = -1.74 eV/atom
calculated volume = 368 Å³/cell
space group = C2/m

Geometry as POSCAR:
```
Sr5InSe6
1.0
3.835 -6.641 0.000
3.835 6.641 0.000
-2.554 0.000 7.233
Sr In Se
5 1 6
Direct
0.000 0.000 0.000
0.167 0.833 0.500
0.335 0.665 0.000
0.665 0.335 0.000
0.833 0.167 0.500
0.500 0.500 0.500
0.089 0.417 0.252
0.253 0.253 0.746
0.417 0.089 0.252
0.583 0.911 0.748
0.747 0.747 0.254
0.911 0.583 0.748
```



# 12
Density functional theory data (PBE) for a relaxed structure of SrInSe2.

formation energy (no corrections) = -1.22 eV/atom
calculated volume = 117 Å³/cell
space group = P4mm

Geometry as POSCAR:
```
SrInSe2
1.0
4.302 0.000 0.000
0.000 4.302 0.000
0.000 0.000 6.317
Sr In Se
1 1 2
Direct
0.000 0.000 0.000
0.500 0.500 0.525
0.000 0.000 0.496
0.500 0.500 0.979
```